No. 1
5
Lattice="4.152 0.000 0.000 0.000 4.152 0.000 0.000 0.000 4.152" Properties=species:S:1:pos:R:3 comment="TaNi3Cl (GGA-PBE, optimized geometry)" e_form_raw_ev_per_atom=0.84 dos_ef_per_ev_cell=5.39 e_above_lowest_polymorph_ev_per_atom=0.000 magnetic_moment_mub_per_cell=0.81 pbc="T T T"
Ta 0.000 0.000 0.000
Ni 0.000 2.076 2.076
Ni 2.076 0.000 2.076
Ni 2.076 2.076 0.000
Cl 2.076 2.076 2.076

No. 2
4
Lattice="3.374 -1.538 0.000 3.374 1.538 0.000 -2.415 0.000 8.253" Properties=species:S:1:pos:R:3 comment="TaNiCl2 (GGA-PBE, optimized geometry)" e_form_raw_ev_per_atom=-0.43 dos_ef_per_ev_cell=1.53 e_above_lowest_polymorph_ev_per_atom=0.121 magnetic_moment_mub_per_cell=0.00 pbc="T T T"
Ta 0.000 0.000 0.000
Ni 4.867 0.000 1.408
Cl 0.869 0.000 6.336
Cl 2.926 0.000 2.703